# 1
DFT (PBE-GGA) results for a geometry-optimized Li2NdHo2In2 structure.

The density of states at the Fermi level is 5.7 states/eV/f.u. Its crystal system is trigonal. As for the volume: 551.0 Å³/cell. The energy of formation from the pure elements comes out at -0.2320 eV per atom.

The structure belongs to space group R-3m (No. 166, hexagonal axes); the cell edges are 4.9018, 4.9018 and 26.4795 Å and the angles 90.00°, 90.00° and 120.00°. The asymmetric unit holds Li at (0.0000, 0.0000, 0.0963), Nd at (0.0000, 0.0000, 0.5000), Ho at (0.0000, 0.0000, 0.3712) and In at (0.0000, 0.0000, 0.2410).



# 2
DFT (PBE-GGA) results for a geometry-optimized Ti6MoPd structure.

The density of states at the Fermi level is 11.7 states/eV/f.u. Its crystal system is tetragonal. As for the volume: 262.4 Å³/cell. The energy of formation from the pure elements comes out at -0.1637 eV per atom.

The structure belongs to space group I4/mmm (No. 139); the cell edges are 4.428, 4.428 and 13.383 Å and the angles 90.00°, 90.00° and 90.00°. The asymmetric unit holds Ti at (0.000, 0.000, 0.245), Ti at (0.000, 0.500, 0.117), Mo at (0.000, 0.000, 0.000) and Pd at (0.000, 0.000, 0.500).



# 3
DFT (PBE-GGA) results for a geometry-optimized ScTi3Cu structure.

The value obtained for the energy relative to the lowest polymorph listed for this composition is 0.00 eV per formula unit. The density of states at the Fermi level is 7.4 states/eV/f.u. Its crystal system is cubic. As for the volume: 102.3 Å³/cell. The energy of formation from the pure elements comes out at 0.5455 eV per atom.

The structure belongs to space group Pm-3m (No. 221); the cell edges are 4.676, 4.676 and 4.676 Å and the angles 90.00°, 90.00° and 90.00°. The asymmetric unit holds Sc at (0.000, 0.000, 0.000), Ti at (0.000, 0.500, 0.500) and Cu at (0.500, 0.500, 0.500).



# 4
DFT (PBE-GGA) results for a geometry-optimized BaCuTe2Pd structure.

The density of states at the Fermi level is 4.8 states/eV/f.u. The uncorrected formation energy comes out at -0.0306 eV/atom. Its crystal system is tetragonal. As for the volume: 165.4 Å³/cell.

The structure belongs to space group P4/mmm (No. 123); the cell edges are 5.300, 5.300 and 5.889 Å and the angles 90.00°, 90.00° and 90.00°. The asymmetric unit holds Ba at (0.000, 0.000, 0.000), Cu at (0.500, 0.500, 0.000), Te at (0.000, 0.500, 0.500) and Pd at (0.000, 0.000, 0.500).



# 5
DFT (PBE-GGA) results for a geometry-optimized Cu4SiGe3O12 structure.

The density of states at the Fermi level is 3.7 states/eV/f.u. The uncorrected formation energy comes out at -1.3247 eV/atom. Its crystal system is orthorhombic. As for the volume: 260.7 Å³/cell.

The structure belongs to space group Pmm2 (No. 25); the cell edges are 2.943, 17.666 and 5.013 Å and the angles 90.00°, 90.00° and 90.00°. The asymmetric unit holds Cu at (0.000, 0.124, 0.000), Cu at (0.000, 0.375, 0.008), Si at (0.500, 0.000, 0.626), Ge at (0.500, 0.249, 0.405), Ge at (0.500, 0.500, 0.606), O at (0.000, 0.000, 0.461), O at (0.000, 0.248, 0.609), O at (0.000, 0.500, 0.401), O at (0.500, 0.078, 0.805), O at (0.500, 0.167, 0.203), O at (0.500, 0.333, 0.214) and O at (0.500, 0.417, 0.803).



# 6
DFT (PBE-GGA) results for a geometry-optimized Ce8IrRh3I4 structure.

The density of states at the Fermi level is 49.6 states/eV/f.u. The uncorrected formation energy comes out at -0.8605 eV/atom. Its crystal system is trigonal. As for the volume: 1428.8 Å³/cell.

The structure belongs to space group R-3m (No. 166, hexagonal axes); the cell edges are 8.2903, 8.2903 and 24.0041 Å and the angles 90.00°, 90.00° and 120.00°. The asymmetric unit holds Ce at (0.0000, 0.0000, 0.2293), Ce at (0.0013, 0.5006, 0.2291), Ir at (0.0000, 0.0000, 0.5000), Rh at (0.0000, 0.5000, 0.5000), I at (0.0000, 0.0000, 0.0000) and I at (0.0000, 0.5000, 0.0000).



# 7
DFT (PBE-GGA) results for a geometry-optimized CeCoNi2Ge2 structure.

The density of states at the Fermi level is 5.9 states/eV/f.u. Its crystal system is tetragonal. As for the volume: 100.4 Å³/cell. The energy of formation from the pure elements comes out at -0.2023 eV per atom.

The structure belongs to space group P4/mmm (No. 123); the cell edges are 4.509, 4.509 and 4.936 Å and the angles 90.00°, 90.00° and 90.00°. The asymmetric unit holds Ce at (0.000, 0.000, 0.000), Co at (0.000, 0.000, 0.500), Ni at (0.500, 0.500, 0.243) and Ge at (0.000, 0.500, 0.500).



# 8
DFT (PBE-GGA) results for a geometry-optimized BaTm2H structure.

The density of states at the Fermi level is 5.2 states/eV/f.u. Its crystal system is trigonal. As for the volume: 325.3 Å³/cell.

The structure belongs to space group R-3m (No. 166, hexagonal axes); the cell edges are 3.5764, 3.5764 and 29.3684 Å and the angles 90.00°, 90.00° and 120.00°. The asymmetric unit holds Ba at (0.0000, 0.0000, 0.0000), Tm at (0.0000, 0.0000, 0.1229) and H at (0.0000, 0.0000, 0.5000).



no.,calculated total energy (eV/atom)
1,-3.550
2,-8.088
3,-6.277
4,-3.530
5,-6.083
6,-6.147
7,-5.842
8,-3.504